{"formula": "K2BaY", "functional": "PBE-GGA", "state": "relaxed", "lattice": [[-4.532, -1.979, -2.464], [2.524, 0.324, -4.904], [2.434, -6.590, 0.818]], "species": ["K", "K", "Y", "Ba"], "frac_coords": [[0.500, 0.500, 0.000], [0.000, 0.000, 0.000], [0.500, 0.000, 0.500], [0.000, 0.500, 0.500]], "relative_energy_mev_per_atom": 182, "magmom_total_mub_per_fu": 0.000, "space_group": "P4/mmm", "e_form_ev_per_atom": 0.45, "mass_density_kg_m3": 2342}

---

{"formula": "ReSnTe2Pb", "functional": "PBE-GGA", "state": "relaxed", "lattice": [[-2.331, -3.748, 3.759], [4.205, -3.083, -0.466], [2.547, 2.812, 4.384]], "species": ["Pb", "Te", "Te", "Re", "Sn"], "frac_coords": [[0.500, 0.500, 0.500], [0.500, 0.000, 0.000], [0.000, 0.000, 0.500], [0.000, 0.500, 0.000], [0.000, 0.000, 0.000]], "magmom_total_mub_per_fu": 3.797, "space_group": "P4/mmm", "e_form_raw_kj_per_mol_atoms": 115.8, "mass_density_kg_m3": 7241}

---

{"formula": "PrSm4Zn", "functional": "PBE-GGA", "state": "relaxed", "lattice": [[6.345, -0.691, 0.000], [-2.522, 8.887, 0.000], [-1.912, -4.098, 6.864]], "species": ["Sm", "Sm", "Pr", "Zn", "Sm", "Sm", "Sm", "Sm", "Zn", "Sm", "Pr", "Sm"], "frac_coords": [[0.627, 0.076, 0.360], [0.767, 0.716, 0.640], [0.653, 0.403, 0.807], [0.250, 0.000, 0.001], [0.233, 0.284, 0.360], [0.038, 0.165, 0.779], [0.759, 0.386, 0.221], [0.373, 0.924, 0.640], [0.750, 0.000, 0.999], [0.241, 0.614, 0.779], [0.347, 0.597, 0.193], [0.962, 0.835, 0.221]], "relative_energy_mev_per_atom": 91, "magmom_total_mub_per_fu": 0.000, "space_group": "C2/c", "e_form_ev_per_atom": -0.01, "mass_density_kg_m3": 7152}

---

{"formula": "Tb2TmSe3", "functional": "PBE-GGA", "state": "relaxed", "lattice": [[4.087, 0.000, 0.000], [0.000, 5.736, 0.000], [-2.044, -2.868, 6.095]], "species": ["Se", "Tb", "Se", "Se", "Tm", "Tb"], "frac_coords": [[0.161, 0.661, 0.823], [0.829, 0.829, 0.158], [0.839, 0.339, 0.177], [0.500, 0.000, 0.500], [0.500, 0.500, 0.500], [0.171, 0.171, 0.842]], "magmom_total_mub_per_fu": 0.000, "space_group": "Immm", "e_form_raw_kj_per_mol_atoms": -167.3, "mass_density_kg_m3": 8409}

---

{"formula": "Ba2Hg2H4Ir", "functional": "PBE-GGA", "state": "relaxed", "lattice": [[6.157, -0.112, -0.177], [-2.576, 5.594, 0.177], [-2.576, -2.228, 5.134]], "species": ["Ba", "Hg", "H", "H", "Ba", "H", "H", "Ir", "Hg"], "frac_coords": [[0.500, 0.250, 0.750], [0.000, 0.666, 0.666], [0.371, 0.185, 0.185], [0.000, 0.815, 0.185], [0.500, 0.750, 0.250], [0.629, 0.815, 0.815], [0.000, 0.185, 0.815], [0.000, 0.000, 0.000], [0.000, 0.334, 0.334]], "magmom_total_mub_per_fu": 0.000, "space_group": "I4/mmm", "mass_density_kg_m3": 8311, "e_tot_ev_per_cell": -29.7}

---

{"formula": "TlCuSb2", "functional": "PBE-GGA", "state": "relaxed", "lattice": [[-5.438, -0.185, -3.219], [-2.942, -5.577, -0.460], [2.133, 4.800, 3.518]], "species": ["Sb", "Cu", "Sb", "Tl"], "frac_coords": [[0.050, 0.050, 0.000], [0.250, 0.750, 0.500], [0.450, 0.450, 0.000], [0.750, 0.250, 0.500]], "relative_energy_mev_per_atom": 105, "magmom_total_mub_per_fu": 0.000, "space_group": "Immm", "e_form_raw_kj_per_mol_atoms": 15.5, "mass_density_kg_m3": 8484}

---

{"formula": "ZrCu3Ni", "functional": "PBE-GGA", "state": "relaxed", "lattice": [[-1.514, -1.423, -3.817], [-1.493, -3.596, 1.932], [-3.791, 1.984, 0.764]], "species": ["Zr", "Cu", "Cu", "Ni", "Cu"], "frac_coords": [[0.500, 0.500, 0.500], [0.000, 0.500, 0.000], [0.500, 0.000, 0.000], [0.000, 0.000, 0.000], [0.000, 0.000, 0.500]], "relative_energy_mev_per_atom": 0, "magmom_total_mub_per_fu": 0.000, "space_group": "Pm-3m", "e_form_ev_per_atom": 0.54, "mass_density_kg_m3": 6888}

---

{"formula": "Al2SiNi", "functional": "PBE-GGA", "state": "relaxed", "lattice": [[1.988, -3.444, 0.000], [1.988, 3.444, 0.000], [0.000, 0.000, 8.925]], "species": ["Si", "Al", "Si", "Al", "Al", "Ni", "Ni", "Al"], "frac_coords": [[0.667, 0.333, 0.250], [0.333, 0.667, 0.407], [0.333, 0.667, 0.750], [0.333, 0.667, 0.093], [0.667, 0.333, 0.907], [0.000, 0.000, 0.000], [0.000, 0.000, 0.500], [0.667, 0.333, 0.593]], "relative_energy_mev_per_atom": 330, "magmom_total_mub_per_fu": 0.000, "space_group": "P6_3/mmc", "e_form_raw_kj_per_mol_atoms": 1.6, "mass_density_kg_m3": 3825}